Entry 1:
{"formula": "KRbAg3", "functional": "PBEsol", "state": "optimized geometry", "e_tot_ev_per_atom": -1.5048, "delta_e_f_ev_per_atom": 0.9136, "lattice_angstrom": [[6.0711, 0.0000, 0.0000], [0.0000, 6.0711, 0.0000], [0.0000, 0.0000, 6.0711]], "species": ["K", "Rb", "Ag", "Ag", "Ag"], "frac_coords": [[0.5000, 0.5000, 0.5000], [0.0000, 0.0000, 0.0000], [0.0000, 0.5000, 0.0000], [0.0000, 0.0000, 0.5000], [0.5000, 0.0000, 0.0000]]}

***

Entry 2:
{"formula": "K2RbAg2", "functional": "PBEsol", "state": "optimized geometry", "polymorph_energy_ev_per_atom": 0.027, "e_tot_ev_per_atom": -1.8066, "delta_e_f_ev_per_atom": 0.1762, "lattice_angstrom": [[-5.2412, -0.6072, -0.1870], [-0.1708, -0.1502, 5.2747], [1.8767, 7.4830, -2.3684]], "species": ["K", "K", "Rb", "Ag", "Ag"], "frac_coords": [[0.2500, 0.7500, 0.5000], [0.7500, 0.2500, 0.5000], [0.0000, 0.0000, 0.0000], [0.4057, 0.4057, 0.8115], [0.5943, 0.5943, 0.1885]]}

***

Entry 3:
{"formula": "KRe2Ag", "functional": "PBEsol", "state": "optimized geometry", "polymorph_energy_ev_per_atom": 0.538, "e_tot_ev_per_atom": -6.5415, "delta_e_f_ev_per_atom": 1.2356, "lattice_angstrom": [[2.6624, 0.0000, 0.0000], [0.0000, 4.8446, 0.0000], [0.0000, 0.0000, 5.5062]], "species": ["Ag", "K", "Re", "Re"], "frac_coords": [[0.5000, 0.0000, 0.5000], [0.0000, 0.5000, 0.5000], [0.0000, 0.0000, 0.0000], [0.5000, 0.5000, 0.0000]]}

***

Entry 4:
{"formula": "KRe2Ag", "functional": "PBEsol", "state": "optimized geometry", "polymorph_energy_ev_per_atom": 0.553, "e_tot_ev_per_atom": -6.5272, "delta_e_f_ev_per_atom": 1.2499, "lattice_angstrom": [[-0.8289, -0.1336, -2.4679], [0.4755, -4.9958, 0.9790], [-4.9118, 2.4168, 2.4615]], "species": ["Ag", "K", "Re", "Re"], "frac_coords": [[0.5000, 0.0000, 0.0000], [0.0000, 0.5000, 0.0000], [0.0000, 0.0000, 0.5000], [0.5000, 0.5000, 0.5000]]}

***

Entry 5:
{"formula": "KReAg2", "functional": "PBEsol", "state": "optimized geometry", "polymorph_energy_ev_per_atom": 0.177, "e_tot_ev_per_atom": -4.3367, "delta_e_f_ev_per_atom": 0.9352, "lattice_angstrom": [[-0.3770, 2.1825, 1.4704], [-4.5967, -1.8734, 1.6021], [4.9843, -2.6136, 2.7539]], "species": ["Ag", "Ag", "K", "Re"], "frac_coords": [[0.9991, 0.9991, 0.9981], [0.7260, 0.2260, 0.4521], [0.4959, 0.4959, 0.9917], [0.2790, 0.7790, 0.5581]]}

***

Entry 6:
{"formula": "KRe2Ag", "functional": "PBEsol", "state": "optimized geometry", "polymorph_energy_ev_per_atom": 0.625, "e_tot_ev_per_atom": -6.4544, "delta_e_f_ev_per_atom": 1.3227, "lattice_angstrom": [[3.1108, 0.0000, 0.0000], [0.0000, 5.4788, 0.0000], [-1.5554, -2.7394, 4.9530]], "species": ["Ag", "K", "Re", "Re"], "frac_coords": [[0.4653, 0.4653, 0.9306], [0.2537, 0.7537, 0.5074], [0.0546, 0.0546, 0.1092], [0.7264, 0.2264, 0.4528]]}

***

Entry 7:
{"formula": "KRe2Ag", "functional": "PBEsol", "state": "optimized geometry", "polymorph_energy_ev_per_atom": 0.000, "e_tot_ev_per_atom": -7.0798, "delta_e_f_ev_per_atom": 0.6974, "lattice_angstrom": [[3.0167, 0.0000, 0.0732], [0.0000, 3.0176, 0.0000], [-0.2157, 0.0000, 8.8709]], "species": ["Ag", "K", "Re", "Re"], "frac_coords": [[0.0002, 0.0000, 0.4500], [0.4995, 0.5000, 0.7506], [0.0001, 0.0000, 0.0746], [0.5002, 0.5000, 0.2248]]}

***

Entry 8:
{"formula": "KRe2Ag", "functional": "PBEsol", "state": "optimized geometry", "polymorph_energy_ev_per_atom": 0.853, "e_tot_ev_per_atom": -6.2267, "delta_e_f_ev_per_atom": 1.5505, "lattice_angstrom": [[-3.3767, -0.0488, 1.5556], [-1.1302, -2.4781, -2.5310], [3.7817, -2.6950, 3.6810]], "species": ["Ag", "K", "Re", "Re"], "frac_coords": [[0.5000, 0.5000, 0.0000], [0.0000, 0.0000, 0.0000], [0.7500, 0.2500, 0.5000], [0.2500, 0.7500, 0.5000]]}